Entry 1:
# CaTiIO2, optimized geometry, DFT PBE
data_CaTiIO2
_space_group_name_H-M_alt 'P 4/m m m'
_space_group_IT_number 123
_space_group_name_Hall '-P 4 2'
_cell_length_a 4.3735
_cell_length_b 4.3735
_cell_length_c 5.8939
_cell_angle_alpha 90.00
_cell_angle_beta 90.00
_cell_angle_gamma 90.00
loop_
_atom_site_label
_atom_site_fract_x
_atom_site_fract_y
_atom_site_fract_z
_atom_site_occupancy
Ca1 0.0000 0.0000 0.0000 1
Ti1 0.5000 0.5000 0.5000 1
I1 0.0000 0.0000 0.5000 1
O1 0.0000 0.5000 0.0000 1
# * energy relative to the lowest polymorph listed for this composition: 1186 meV/atom
# * total moment: 1.0 μB per cell
# * calculated volume: 22.5 Å³ per atom
# * calculated total energy: -4.772 eV per atom

Entry 2:
# CaTiIO2, optimized geometry, DFT PBE
data_CaTiIO2
_space_group_name_H-M_alt 'P 4/m m m'
_space_group_IT_number 123
_space_group_name_Hall '-P 4 2'
_cell_length_a 4.0650
_cell_length_b 4.0650
_cell_length_c 5.5719
_cell_angle_alpha 90.00
_cell_angle_beta 90.00
_cell_angle_gamma 90.00
loop_
_atom_site_label
_atom_site_fract_x
_atom_site_fract_y
_atom_site_fract_z
_atom_site_occupancy
Ca1 0.0000 0.0000 0.0000 1
Ti1 0.5000 0.5000 0.5000 1
I1 0.5000 0.5000 0.0000 1
O1 0.0000 0.5000 0.5000 1
# * energy relative to the lowest polymorph listed for this composition: 0 meV/atom
# * total moment: 0.6 μB per cell
# * calculated volume: 18.4 Å³ per atom
# * calculated total energy: -5.957 eV per atom

Entry 3:
# CaTlI2O, optimized geometry, DFT PBE
data_CaTlI2O
_space_group_name_H-M_alt 'P 4/m m m'
_space_group_IT_number 123
_space_group_name_Hall '-P 4 2'
_cell_length_a 6.1589
_cell_length_b 6.1589
_cell_length_c 6.1529
_cell_angle_alpha 90.00
_cell_angle_beta 90.00
_cell_angle_gamma 90.00
loop_
_atom_site_label
_atom_site_fract_x
_atom_site_fract_y
_atom_site_fract_z
_atom_site_occupancy
Ca1 0.0000 0.0000 0.0000 1
Tl1 0.0000 0.0000 0.5000 1
I1 0.0000 0.5000 0.5000 1
O1 0.5000 0.5000 0.0000 1
# * energy relative to the lowest polymorph listed for this composition: 1257 meV/atom
# * total moment: 1.5 μB per cell
# * calculated volume: 46.7 Å³ per atom
# * calculated total energy: -2.254 eV per atom

Entry 4:
# CaTlIO2, optimized geometry, DFT PBE
data_CaTlIO2
_space_group_name_H-M_alt 'P 4/m m m'
_space_group_IT_number 123
_space_group_name_Hall '-P 4 2'
_cell_length_a 4.6479
_cell_length_b 4.6479
_cell_length_c 6.4319
_cell_angle_alpha 90.00
_cell_angle_beta 90.00
_cell_angle_gamma 90.00
loop_
_atom_site_label
_atom_site_fract_x
_atom_site_fract_y
_atom_site_fract_z
_atom_site_occupancy
Ca1 0.0000 0.0000 0.0000 1
Tl1 0.5000 0.5000 0.5000 1
I1 0.0000 0.0000 0.5000 1
O1 0.0000 0.5000 0.0000 1
# * energy relative to the lowest polymorph listed for this composition: 0 meV/atom
# * total moment: 0.6 μB per cell
# * calculated volume: 27.8 Å³ per atom
# * calculated total energy: -3.859 eV per atom

Entry 5:
# CaTlIO2, optimized geometry, DFT PBE
data_CaTlIO2
_space_group_name_H-M_alt 'P 4/m m m'
_space_group_IT_number 123
_space_group_name_Hall '-P 4 2'
_cell_length_a 4.4474
_cell_length_b 4.4474
_cell_length_c 5.8905
_cell_angle_alpha 90.00
_cell_angle_beta 90.00
_cell_angle_gamma 90.00
loop_
_atom_site_label
_atom_site_fract_x
_atom_site_fract_y
_atom_site_fract_z
_atom_site_occupancy
Ca1 0.0000 0.0000 0.0000 1
Tl1 0.5000 0.5000 0.5000 1
I1 0.5000 0.5000 0.0000 1
O1 0.0000 0.5000 0.5000 1
# * energy relative to the lowest polymorph listed for this composition: 114 meV/atom
# * total moment: 0.0 μB per cell
# * calculated volume: 23.3 Å³ per atom
# * calculated total energy: -3.746 eV per atom

Entry 6:
# CaTlI2O, optimized geometry, DFT PBE
data_CaTlI2O
_space_group_name_H-M_alt 'P 4/m m m'
_space_group_IT_number 123
_space_group_name_Hall '-P 4 2'
_cell_length_a 6.3141
_cell_length_b 6.3141
_cell_length_c 4.1985
_cell_angle_alpha 90.00
_cell_angle_beta 90.00
_cell_angle_gamma 90.00
loop_
_atom_site_label
_atom_site_fract_x
_atom_site_fract_y
_atom_site_fract_z
_atom_site_occupancy
Ca1 0.0000 0.0000 0.0000 1
Tl1 0.5000 0.5000 0.5000 1
I1 0.0000 0.5000 0.5000 1
O1 0.5000 0.5000 0.0000 1
# * energy relative to the lowest polymorph listed for this composition: 431 meV/atom
# * total moment: 0.0 μB per cell
# * calculated volume: 33.5 Å³ per atom
# * calculated total energy: -3.080 eV per atom

Entry 7:
# CaTlIO6, optimized geometry, DFT PBE
data_CaTlIO6
_space_group_name_H-M_alt 'P -3 1 c'
_space_group_IT_number 163
_space_group_name_Hall '-P 3 2c'
_cell_length_a 5.5583
_cell_length_b 5.5583
_cell_length_c 9.7819
_cell_angle_alpha 90.00
_cell_angle_beta 90.00
_cell_angle_gamma 120.00
loop_
_atom_site_label
_atom_site_fract_x
_atom_site_fract_y
_atom_site_fract_z
_atom_site_occupancy
Ca1 0.0000 0.0000 0.0000 1
Tl1 0.3333 0.6667 0.2500 1
I1 0.3333 0.6667 0.7500 1
O1 0.0499 0.3867 0.6374 1
# * total moment: 0.0 μB per cell
# * calculated volume: 14.5 Å³ per atom
# * calculated total energy: -5.039 eV per atom

Entry 8:
# Ca2Tl2IO6, optimized geometry, DFT PBE
data_Ca2Tl2IO6
_space_group_name_H-M_alt 'C 1 2/m 1'
_space_group_IT_number 12
_cell_length_a 5.9986
_cell_length_b 10.1904
_cell_length_c 6.7966
_cell_angle_alpha 90.00
_cell_angle_beta 107.22
_cell_angle_gamma 90.00
loop_
_space_group_symop_operation_xyz
'x,y,z'
'-x,-y,-z'
'-x,y,-z'
'x,-y,z'
'x+1/2,y+1/2,z'
'-x+1/2,-y+1/2,-z'
'-x+1/2,y+1/2,-z'
'x+1/2,-y+1/2,z'
loop_
_atom_site_label
_atom_site_fract_x
_atom_site_fract_y
_atom_site_fract_z
_atom_site_occupancy
Ca1 0.0000 0.1650 0.0000 1
Tl1 0.0000 0.3270 0.5000 1
I1 0.0000 0.5000 0.0000 1
O1 0.2017 0.3547 0.1669 1
O2 0.2231 0.5000 0.8218 1
# * total moment: 0.9 μB per cell
# * calculated volume: 18.0 Å³ per atom
# * calculated total energy: -5.022 eV per atom

Entry 9:
# CaTlI2O, optimized geometry, DFT PBE
data_CaTlI2O
_space_group_name_H-M_alt 'P 4/m m m'
_space_group_IT_number 123
_space_group_name_Hall '-P 4 2'
_cell_length_a 6.3111
_cell_length_b 6.3111
_cell_length_c 4.4348
_cell_angle_alpha 90.00
_cell_angle_beta 90.00
_cell_angle_gamma 90.00
loop_
_atom_site_label
_atom_site_fract_x
_atom_site_fract_y
_atom_site_fract_z
_atom_site_occupancy
Ca1 0.0000 0.0000 0.0000 1
Tl1 0.5000 0.5000 0.5000 1
I1 0.0000 0.5000 0.0000 1
O1 0.0000 0.0000 0.5000 1
# * energy relative to the lowest polymorph listed for this composition: 0 meV/atom
# * total moment: 1.0 μB per cell
# * calculated volume: 35.3 Å³ per atom
# * calculated total energy: -3.511 eV per atom

Entry 10:
# CaTl2IO8, optimized geometry, DFT PBE
data_CaTl2IO8
_space_group_name_H-M_alt 'P 1 2/m 1'
_space_group_IT_number 10
_cell_length_a 4.8231
_cell_length_b 6.9516
_cell_length_c 4.9954
_cell_angle_alpha 90.00
_cell_angle_beta 92.03
_cell_angle_gamma 90.00
loop_
_space_group_symop_operation_xyz
'x,y,z'
'-x,-y,-z'
'-x,y,-z'
'x,-y,z'
loop_
_atom_site_label
_atom_site_fract_x
_atom_site_fract_y
_atom_site_fract_z
_atom_site_occupancy
Ca1 0.0000 0.0000 0.0000 1
Tl1 0.5000 0.2565 0.5000 1
I1 0.0000 0.5000 0.0000 1
O1 0.2161 0.0000 0.4467 1
O2 0.2156 0.2953 0.8638 1
O3 0.2351 0.5000 0.3249 1
# * total moment: 0.2 μB per cell
# * calculated volume: 13.9 Å³ per atom
# * calculated total energy: -4.779 eV per atom

Entry 11:
# CaTl3I2O9, optimized geometry, DFT PBE
data_CaTl3I2O9
_space_group_name_H-M_alt 'P -3 m 1'
_space_group_IT_number 164
_space_group_name_Hall '-P 3 2"'
_cell_length_a 6.0036
_cell_length_b 6.0036
_cell_length_c 7.4039
_cell_angle_alpha 90.00
_cell_angle_beta 90.00
_cell_angle_gamma 120.00
loop_
_atom_site_label
_atom_site_fract_x
_atom_site_fract_y
_atom_site_fract_z
_atom_site_occupancy
Ca1 0.0000 0.0000 0.0000 1
Tl1 0.0000 0.0000 0.5000 1
Tl2 0.3333 0.6667 0.1770 1
I1 0.3333 0.6667 0.6715 1
O1 0.0000 0.5000 0.5000 1
O2 0.1823 0.3646 0.8102 1
# * total moment: 0.0 μB per cell
# * calculated volume: 15.4 Å³ per atom
# * calculated total energy: -4.563 eV per atom

Entry 12:
# CaTl2IO6, optimized geometry, DFT PBE
data_CaTl2IO6
_space_group_name_H-M_alt 'P 1 21/c 1'
_space_group_IT_number 14
_cell_length_a 5.7846
_cell_length_b 6.0152
_cell_length_c 10.3075
_cell_angle_alpha 90.00
_cell_angle_beta 123.81
_cell_angle_gamma 90.00
loop_
_space_group_symop_operation_xyz
'x,y,z'
'-x,-y,-z'
'-x,y+1/2,-z+1/2'
'x,-y+1/2,z+1/2'
loop_
_atom_site_label
_atom_site_fract_x
_atom_site_fract_y
_atom_site_fract_z
_atom_site_occupancy
Ca1 0.0000 0.0000 0.0000 1
Tl1 0.2260 0.0434 0.7381 1
I1 0.5000 0.0000 0.5000 1
O1 0.1474 0.1716 0.4536 1
O2 0.2439 0.7115 0.4129 1
O3 0.3934 0.0843 0.2672 1
# * total moment: 0.0 μB per cell
# * calculated volume: 14.9 Å³ per atom
# * calculated total energy: -4.714 eV per atom